Tl4Hg10Au: relaxed, GGA-PBE.

Output
**Crystal system**: tetragonal
**V**: 461 Å³ per cell
**N(E_F)**: 4.60 states/eV/cell
**Space group**: I4/m, No. 87
**Final energy**: -15.2 eV for the cell shown

abc: 8.5328 8.5328 8.5328
angles: 103.61 103.61 121.97
Element x y z (fractional)
Tl (0.0416, 0.2712, 0.3128)
Tl (0.2712, 0.9584, 0.2296)
Tl (0.7288, 0.0416, 0.7704)
Tl (0.9584, 0.7288, 0.6872)
Hg (0.1107, 0.1811, 0.6817)
Hg (0.1811, 0.4994, 0.0704)
Hg (0.2500, 0.7500, 0.5000)
Hg (0.4290, 0.1107, 0.9296)
Hg (0.4994, 0.4290, 0.3183)
Hg (0.5006, 0.5710, 0.6817)
Hg (0.5710, 0.8893, 0.0704)
Hg (0.7500, 0.2500, 0.5000)
Hg (0.8189, 0.5006, 0.9296)
Hg (0.8893, 0.8189, 0.3183)
Au (0.5000, 0.5000, 0.0000)

---

TlHgAu: relaxed, GGA-PBE.

Output
**Crystal system**: triclinic
**V**: 152 Å³ per cell
**N(E_F)**: 2.18 states/eV/cell
**Energy relative to the lowest polymorph listed for this composition**: 18.1 meV per atom
**Space group**: P-1, No. 2

abc: 4.1302 6.1229 7.0658
angles: 115.61 106.96 90.12
Element x y z (fractional)
Tl (0.1962, 0.1963, 0.3935)
Tl (0.8038, 0.8037, 0.6065)
Hg (0.4999, 0.2374, 0.0013)
Hg (0.5001, 0.7626, 0.9987)
Au (0.1252, 0.6247, 0.2481)
Au (0.8748, 0.3753, 0.7519)

---

TlHgAu2: relaxed, GGA-PBE.

Output
**Crystal system**: orthorhombic
**V**: 91 Å³ per cell
**N(E_F)**: 0.97 states/eV/cell
**Energy relative to the lowest polymorph listed for this composition**: 67.8 meV per atom
**Space group**: Imm2, No. 44

abc: 6.5395 6.5395 6.5395
angles: 153.57 132.52 55.16
Element x y z (fractional)
Tl (0.0000, 0.0000, 0.0000)
Hg (0.2978, 0.7978, 0.5000)
Au (0.5413, 0.5413, 0.0000)
Au (0.7539, 0.2539, 0.5000)

---

Tl2Hg2Au: relaxed, GGA-PBE.

Output
**Crystal system**: tetragonal
**V**: 147 Å³ per cell
**N(E_F)**: 2.37 states/eV/cell
**Energy relative to the lowest polymorph listed for this composition**: 109.5 meV per atom
**Space group**: I4/mmm, No. 139

abc: 9.2878 9.2878 9.2878
angles: 154.66 154.66 36.13
Element x y z (fractional)
Tl (0.0895, 0.0895, 0.0000)
Tl (0.9105, 0.9105, 0.0000)
Hg (0.2500, 0.7500, 0.5000)
Hg (0.7500, 0.2500, 0.5000)
Au (0.5000, 0.5000, 0.0000)

---

Tl2Hg3Au: relaxed, GGA-PBE.

Output
**Crystal system**: orthorhombic
**V**: 161 Å³ per cell
**N(E_F)**: 2.59 states/eV/cell
**Energy relative to the lowest polymorph listed for this composition**: 25.1 meV per atom
**Space group**: Pmm2, No. 25

abc: 3.4769 5.1923 8.9134
angles: 90.00 90.00 90.00
Element x y z (fractional)
Tl (0.0000, 0.0000, 0.0000)
Tl (0.0000, 0.5000, 0.4541)
Hg (0.5000, 0.0000, 0.6270)
Hg (0.5000, 0.5000, 0.1434)
Hg (0.5000, 0.5000, 0.8027)
Au (0.5000, 0.0000, 0.3009)

---

TlHgAu: relaxed, GGA-PBE.

Output
**Crystal system**: trigonal
**V**: 77 Å³ per cell
**N(E_F)**: 0.79 states/eV/cell
**Energy relative to the lowest polymorph listed for this composition**: 59.3 meV per atom
**Space group**: P3m1, No. 156

abc: 4.9696 4.9696 3.6052
angles: 90.00 90.00 120.00
Element x y z (fractional)
Tl (0.0000, 0.0000, 0.0000)
Hg (0.6667, 0.3333, 0.5035)
Au (0.3333, 0.6667, 0.4838)

---

TlZnHg2Au: relaxed, GGA-PBE.

Output
**Crystal system**: tetragonal
**V**: 145 Å³ per cell
**N(E_F)**: 1.62 states/eV/cell
**Energy relative to the lowest polymorph listed for this composition**: 0.0 meV per atom
**Space group**: P4/mmm, No. 123

abc: 5.4061 5.4061 4.9752
angles: 90.00 90.00 90.00
Element x y z (fractional)
Tl (0.0000, 0.0000, 0.0000)
Zn (0.5000, 0.5000, 0.0000)
Hg (0.0000, 0.5000, 0.5000)
Hg (0.5000, 0.0000, 0.5000)
Au (0.5000, 0.5000, 0.5000)

---

TlZnHgAu2: relaxed, GGA-PBE.

Output
**Crystal system**: tetragonal
**V**: 130 Å³ per cell
**N(E_F)**: 1.73 states/eV/cell
**Space group**: P4/mmm, No. 123
**Final energy**: -9.8 eV for the cell shown

abc: 5.0050 5.0050 5.2022
angles: 90.00 90.00 90.00
Element x y z (fractional)
Tl (0.0000, 0.0000, 0.0000)
Zn (0.5000, 0.5000, 0.5000)
Hg (0.5000, 0.5000, 0.0000)
Au (0.0000, 0.5000, 0.5000)
Au (0.5000, 0.0000, 0.5000)

---

TlZnHg2Au: relaxed, GGA-PBE.

Output
**Crystal system**: tetragonal
**V**: 137 Å³ per cell
**N(E_F)**: 1.28 states/eV/cell
**Energy relative to the lowest polymorph listed for this composition**: 21.1 meV per atom
**Space group**: P4/mmm, No. 123

abc: 5.2000 5.2000 5.0482
angles: 90.00 90.00 90.00
Element x y z (fractional)
Tl (0.0000, 0.0000, 0.0000)
Zn (0.5000, 0.5000, 0.5000)
Hg (0.0000, 0.5000, 0.5000)
Hg (0.5000, 0.0000, 0.5000)
Au (0.5000, 0.5000, 0.0000)

---

Tl2ZnHgAu: relaxed, GGA-PBE.

Output
**Crystal system**: tetragonal
**V**: 158 Å³ per cell
**N(E_F)**: 1.65 states/eV/cell
**Space group**: P4/mmm, No. 123
**Final energy**: -9.1 eV for the cell shown

abc: 5.6224 5.6224 4.9887
angles: 90.00 90.00 90.00
Element x y z (fractional)
Tl (0.0000, 0.5000, 0.0000)
Tl (0.5000, 0.0000, 0.0000)
Zn (0.0000, 0.0000, 0.5000)
Hg (0.5000, 0.5000, 0.5000)
Au (0.0000, 0.0000, 0.0000)

---

Tm5Hg2Au2: relaxed, GGA-PBE.

Output
**Crystal system**: orthorhombic
**V**: 456 Å³ per cell
**N(E_F)**: 15.00 states/eV/cell
**Space group**: Cmce, No. 64
**Final energy**: -69.5 eV for the cell shown

abc: 9.0825 9.0825 7.4127
angles: 90.00 90.00 48.23
Element x y z (fractional)
Tm (0.0000, 0.0000, 0.0000)
Tm (0.0417, 0.6910, 0.6698)
Tm (0.1910, 0.5417, 0.1698)
Tm (0.3090, 0.9583, 0.6698)
Tm (0.4583, 0.8090, 0.1698)
Tm (0.5000, 0.5000, 0.5000)
Tm (0.5417, 0.1910, 0.8302)
Tm (0.6910, 0.0417, 0.3302)
Tm (0.8090, 0.4583, 0.8302)
Tm (0.9583, 0.3090, 0.3302)
Hg (0.2172, 0.2172, 0.0000)
Hg (0.2828, 0.2828, 0.5000)
Hg (0.7172, 0.7172, 0.5000)
Hg (0.7828, 0.7828, 0.0000)
Au (0.1346, 0.8654, 0.3648)
Au (0.3654, 0.6345, 0.8648)
Au (0.6345, 0.3654, 0.1352)
Au (0.8654, 0.1346, 0.6352)

---

Tm4HgAu: relaxed, GGA-PBE.

Output
**Crystal system**: monoclinic
**V**: 356 Å³ per cell
**N(E_F)**: 17.00 states/eV/cell
**Space group**: P2_1/c, No. 14
**Final energy**: -46.0 eV for the cell shown

abc: 7.1483 7.1005 7.0268
angles: 90.00 91.81 90.00
Element x y z (fractional)
Tm (0.1509, 0.1573, 0.1652)
Tm (0.1509, 0.3427, 0.6652)
Tm (0.3377, 0.6505, 0.1392)
Tm (0.3377, 0.8495, 0.6392)
Tm (0.6623, 0.1505, 0.3608)
Tm (0.6623, 0.3495, 0.8608)
Tm (0.8491, 0.6573, 0.3348)
Tm (0.8491, 0.8427, 0.8348)
Hg (0.5000, 0.0000, 0.0000)
Hg (0.5000, 0.5000, 0.5000)
Au (0.0000, 0.0000, 0.5000)
Au (0.0000, 0.5000, 0.0000)

---

Tm5Hg4Au: relaxed, GGA-PBE.

Output
**Crystal system**: tetragonal
**V**: 243 Å³ per cell
**N(E_F)**: 6.98 states/eV/cell
**Space group**: P4/mmm, No. 123
**Final energy**: -32.5 eV for the cell shown

abc: 3.6451 3.6451 18.2986
angles: 90.00 90.00 90.00
Element x y z (fractional)
Tm (0.0000, 0.0000, 0.0000)
Tm (0.0000, 0.0000, 0.2035)
Tm (0.0000, 0.0000, 0.4066)
Tm (0.0000, 0.0000, 0.5934)
Tm (0.0000, 0.0000, 0.7965)
Hg (0.5000, 0.5000, 0.1015)
Hg (0.5000, 0.5000, 0.3023)
Hg (0.5000, 0.5000, 0.6977)
Hg (0.5000, 0.5000, 0.8985)
Au (0.5000, 0.5000, 0.5000)

---

Tm4Hg2Au: relaxed, GGA-PBE.

Output
**Crystal system**: trigonal
**V**: 186 Å³ per cell
**N(E_F)**: 6.63 states/eV/cell
**Space group**: R-3m, No. 166
**Final energy**: -24.8 eV for the cell shown

abc: 8.8165 8.8165 8.8165
angles: 33.46 33.46 33.46
Element x y z (fractional)
Tm (0.1232, 0.1232, 0.1232)
Tm (0.3742, 0.3742, 0.3742)
Tm (0.6258, 0.6258, 0.6258)
Tm (0.8768, 0.8768, 0.8768)
Hg (0.2444, 0.2444, 0.2444)
Hg (0.7556, 0.7556, 0.7556)
Au (0.0000, 0.0000, 0.0000)

---

Tm6HgAu5: relaxed, GGA-PBE.

Output
**Crystal system**: orthorhombic
**V**: 274 Å³ per cell
**N(E_F)**: 6.28 states/eV/cell
**Space group**: Cmmm, No. 65
**Final energy**: -53.4 eV for the cell shown

abc: 7.9974 7.9974 7.1136
angles: 90.00 90.00 143.04
Element x y z (fractional)
Tm (0.0000, 0.0000, 0.2427)
Tm (0.0000, 0.0000, 0.7573)
Tm (0.3304, 0.6696, 0.2474)
Tm (0.3304, 0.6696, 0.7526)
Tm (0.6696, 0.3304, 0.2474)
Tm (0.6696, 0.3304, 0.7526)
Hg (0.5000, 0.5000, 0.5000)
Au (0.1621, 0.8379, 0.5000)
Au (0.1659, 0.8341, 0.0000)
Au (0.5000, 0.5000, 0.0000)
Au (0.8341, 0.1659, 0.0000)
Au (0.8379, 0.1621, 0.5000)

---

Tm12HgAu6: relaxed, GGA-PBE.

Output
**Crystal system**: trigonal
**V**: 559 Å³ per cell
**N(E_F)**: 20.44 states/eV/cell
**Space group**: R-3, No. 148
**Final energy**: -81.7 eV for the cell shown

abc: 8.4254 8.4254 8.4254
angles: 101.14 101.14 101.14
Element x y z (fractional)
Tm (0.0635, 0.3269, 0.9261)
Tm (0.0739, 0.9365, 0.6731)
Tm (0.1770, 0.5741, 0.4271)
Tm (0.3269, 0.9261, 0.0635)
Tm (0.4259, 0.5729, 0.8230)
Tm (0.4271, 0.1770, 0.5741)
Tm (0.5729, 0.8230, 0.4259)
Tm (0.5741, 0.4271, 0.1770)
Tm (0.6731, 0.0739, 0.9365)
Tm (0.8230, 0.4259, 0.5729)
Tm (0.9261, 0.0635, 0.3269)
Tm (0.9365, 0.6731, 0.0739)
Hg (0.0000, 0.0000, 0.0000)
Au (0.1383, 0.3054, 0.6102)
Au (0.3054, 0.6102, 0.1383)
Au (0.3898, 0.8617, 0.6946)
Au (0.6102, 0.1383, 0.3054)
Au (0.6946, 0.3898, 0.8617)
Au (0.8617, 0.6946, 0.3898)

---

Tm4HgAu2: relaxed, GGA-PBE.

Output
**Crystal system**: trigonal
**V**: 178 Å³ per cell
**N(E_F)**: 6.27 states/eV/cell
**Energy relative to the lowest polymorph listed for this composition**: 0.0 meV per atom
**Space group**: R-3m, No. 166

abc: 8.6881 8.6881 8.6881
angles: 33.53 33.53 33.53
Element x y z (fractional)
Tm (0.1204, 0.1204, 0.1204)
Tm (0.3724, 0.3724, 0.3724)
Tm (0.6276, 0.6276, 0.6276)
Tm (0.8796, 0.8796, 0.8796)
Hg (0.5000, 0.5000, 0.5000)
Au (0.2531, 0.2531, 0.2531)
Au (0.7469, 0.7469, 0.7469)

---

Tm11Hg9Au4: relaxed, GGA-PBE.

Output
**Crystal system**: orthorhombic
**V**: 577 Å³ per cell
**N(E_F)**: 13.00 states/eV/cell
**Space group**: Cmmm, No. 65
**Final energy**: -79.5 eV for the cell shown

abc: 13.0341 13.0341 3.6702
angles: 90.00 90.00 112.37
Element x y z (fractional)
Tm (0.0000, 0.0000, 0.0000)
Tm (0.0736, 0.4146, 0.0000)
Tm (0.1668, 0.8332, 0.0000)
Tm (0.2844, 0.2844, 0.0000)
Tm (0.3594, 0.6406, 0.0000)
Tm (0.4146, 0.0736, 0.0000)
Tm (0.5854, 0.9264, 0.0000)
Tm (0.6406, 0.3594, 0.0000)
Tm (0.7156, 0.7156, 0.0000)
Tm (0.8332, 0.1668, 0.0000)
Tm (0.9264, 0.5854, 0.0000)
Hg (0.0543, 0.2086, 0.5000)
Hg (0.1466, 0.6323, 0.5000)
Hg (0.2086, 0.0543, 0.5000)
Hg (0.3677, 0.8534, 0.5000)
Hg (0.5000, 0.5000, 0.5000)
Hg (0.6323, 0.1466, 0.5000)
Hg (0.7914, 0.9457, 0.5000)
Hg (0.8534, 0.3677, 0.5000)
Hg (0.9457, 0.7914, 0.5000)
Au (0.2552, 0.4497, 0.5000)
Au (0.4497, 0.2552, 0.5000)
Au (0.5503, 0.7448, 0.5000)
Au (0.7448, 0.5503, 0.5000)

---

Tm2Hg3Au: relaxed, GGA-PBE.

Output
**Crystal system**: orthorhombic
**V**: 139 Å³ per cell
**N(E_F)**: 3.22 states/eV/cell
**Space group**: Pmm2, No. 25
**Final energy**: -15.9 eV for the cell shown

abc: 3.3770 4.8724 8.4179
angles: 90.00 90.00 90.00
Element x y z (fractional)
Tm (0.0000, 0.0000, 0.0000)
Tm (0.0000, 0.5000, 0.4665)
Hg (0.5000, 0.0000, 0.6453)
Hg (0.5000, 0.5000, 0.1484)
Hg (0.5000, 0.5000, 0.8127)
Au (0.5000, 0.0000, 0.3140)

---

Tm4HgAu2: relaxed, GGA-PBE.

Output
**Crystal system**: trigonal
**V**: 190 Å³ per cell
**N(E_F)**: 8.90 states/eV/cell
**Energy relative to the lowest polymorph listed for this composition**: 126.7 meV per atom
**Space group**: R-3m, No. 166

abc: 10.0462 10.0462 10.0462
angles: 27.47 27.47 27.47
Element x y z (fractional)
Tm (0.1162, 0.1162, 0.1162)
Tm (0.2980, 0.2980, 0.2980)
Tm (0.7020, 0.7020, 0.7020)
Tm (0.8838, 0.8838, 0.8838)
Hg (0.5000, 0.5000, 0.5000)
Au (0.3987, 0.3987, 0.3987)
Au (0.6013, 0.6013, 0.6013)